Compound: BaAlIr3
Source: the Alexandria database
Functional: PBE
Structure: relaxed Values from VASP.

DFT total energy = -3.751 eV per atom
SG = Pm-3m
Formation enthalpy at 0 K = 2.6988 eV per atom

Cell and atoms, written as Quantum ESPRESSO input:
```
&SYSTEM
  ibrav = 0, nat = 5, ntyp = 3
/
ATOMIC_SPECIES
Ba 137.33 Ba.upf
Ir 192.22 Ir.upf
Al 26.98 Al.upf
CELL_PARAMETERS angstrom
5.136 0.000 0.000
0.000 5.136 0.000
0.000 0.000 5.136
ATOMIC_POSITIONS crystal
Ba 0.000 0.000 0.000
Ir 0.000 0.500 0.000
Al 0.500 0.500 0.500
Ir 0.500 0.000 0.000
Ir 0.000 0.000 0.500
```

---

Compound: Ac2ScRuS6
Source: the Alexandria database
Functional: PBE
Structure: relaxed Values from VASP.

DFT total energy = -6.330 eV per atom
SG = Pmmn

Cell and atoms, written as Quantum ESPRESSO input:
```
&SYSTEM
  ibrav = 0, nat = 20, ntyp = 4
/
ATOMIC_SPECIES
Sc 44.96 Sc.upf
S 32.06 S.upf
Ac 227.00 Ac.upf
Ru 101.07 Ru.upf
CELL_PARAMETERS angstrom
6.792 0.000 0.000
0.000 6.873 0.000
0.000 0.000 9.605
ATOMIC_POSITIONS crystal
Sc 0.500 0.255 0.500
S 0.230 0.486 0.500
S 0.000 0.770 0.257
S 0.749 0.019 0.000
Ac 0.000 0.217 0.729
Ru 0.500 0.263 0.000
Sc 0.000 0.745 0.000
Ac 0.500 0.783 0.771
S 0.730 0.514 0.000
Ru 0.000 0.737 0.500
S 0.251 0.019 0.000
S 0.500 0.230 0.757
S 0.270 0.514 0.000
S 0.770 0.486 0.500
S 0.249 0.981 0.500
Ac 0.000 0.217 0.271
Ac 0.500 0.783 0.229
S 0.751 0.981 0.500
S 0.000 0.770 0.743
S 0.500 0.230 0.243
```

---

Compound: Pr3Y7Th2
Source: the Alexandria database
Functional: PBE
Structure: relaxed Values from VASP.

DFT total energy = -6.154 eV per atom
SG = P-1
Formation enthalpy at 0 K = 0.0479 eV per atom

Cell and atoms, written as Quantum ESPRESSO input:
```
&SYSTEM
  ibrav = 0, nat = 12, ntyp = 3
/
ATOMIC_SPECIES
Pr 140.91 Pr.upf
Th 232.04 Th.upf
Y 88.91 Y.upf
CELL_PARAMETERS angstrom
3.623 0.033 -0.124
-0.082 6.261 -0.682
2.458 -3.318 17.947
ATOMIC_POSITIONS crystal
Pr 0.166 0.721 0.667
Th 0.665 0.229 0.668
Pr 0.834 0.279 0.333
Y 0.000 0.000 0.000
Y 0.583 0.033 0.834
Y 0.249 0.244 0.502
Y 0.917 0.474 0.166
Y 0.751 0.756 0.498
Th 0.335 0.771 0.332
Pr 0.500 0.500 0.000
Y 0.083 0.526 0.834
Y 0.417 0.967 0.166
```

---

Please write out number 2 again, unchanged.
Compound: Ac2ScRuS6
Source: the Alexandria database
Functional: PBE
Structure: relaxed Values from VASP.

DFT total energy = -6.330 eV per atom
SG = Pmmn

Cell and atoms, written as Quantum ESPRESSO input:
```
&SYSTEM
  ibrav = 0, nat = 20, ntyp = 4
/
ATOMIC_SPECIES
Sc 44.96 Sc.upf
S 32.06 S.upf
Ac 227.00 Ac.upf
Ru 101.07 Ru.upf
CELL_PARAMETERS angstrom
6.792 0.000 0.000
0.000 6.873 0.000
0.000 0.000 9.605
ATOMIC_POSITIONS crystal
Sc 0.500 0.255 0.500
S 0.230 0.486 0.500
S 0.000 0.770 0.257
S 0.749 0.019 0.000
Ac 0.000 0.217 0.729
Ru 0.500 0.263 0.000
Sc 0.000 0.745 0.000
Ac 0.500 0.783 0.771
S 0.730 0.514 0.000
Ru 0.000 0.737 0.500
S 0.251 0.019 0.000
S 0.500 0.230 0.757
S 0.270 0.514 0.000
S 0.770 0.486 0.500
S 0.249 0.981 0.500
Ac 0.000 0.217 0.271
Ac 0.500 0.783 0.229
S 0.751 0.981 0.500
S 0.000 0.770 0.743
S 0.500 0.230 0.243
```

---

- Which formula does entry 1 have?
  BaAlIr3

---

- Among the records above, which one has the highest DFT total energy?
  BaAlIr3